Record 1
! Cd2Se, relaxed, DFT PBEsol; values from VASP
! Uncorrected formation energy: -0.1188 eV per atom
! Excess energy over the best structure of this formula in the dataset: 118 meV per atom
&SYSTEM
  ibrav = 0, nat = 6, ntyp = 2
/
ATOMIC_SPECIES
Cd 112.41 Cd.upf
Se 78.96 Se.upf
ATOMIC_POSITIONS angstrom
Cd -1.1150 -6.7131 5.0900
Cd 1.1210 -3.1745 -1.4269
Cd -1.1399 -4.4021 1.0373
Cd 1.1458 -5.4855 2.6258
Se 0.3726 -1.8589 0.9015
Se -0.3667 -8.0287 2.7616
CELL_PARAMETERS angstrom
-1.9835 -1.6880 -2.6608
3.1725 -1.9471 -1.1298
-1.1830 -6.2525 7.4537

Record 2
! RbAl3Rh, relaxed, DFT PBEsol; values from VASP
! E_form: 11.77 eV per formula unit
&SYSTEM
  ibrav = 0, nat = 5, ntyp = 3
/
ATOMIC_SPECIES
Rh 102.91 Rh.upf
Al 26.98 Al.upf
Rb 85.47 Rb.upf
ATOMIC_POSITIONS angstrom
Rh 1.3536 -2.8803 3.2320
Al 2.4870 -0.4245 0.7020
Al -0.6907 0.1253 2.5230
Al -0.4426 -2.5811 0.0071
Rb 0.0000 0.0000 0.0000
CELL_PARAMETERS angstrom
-0.8852 -5.1623 0.0141
4.9740 -0.8491 1.4040
-1.3815 0.2507 5.0459

Record 3
! BeTlCu2, relaxed, DFT PBEsol; values from VASP
! E_form: 1.38 eV per formula unit
! Excess energy over the best structure of this formula in the dataset: 122 meV per atom
&SYSTEM
  ibrav = 0, nat = 4, ntyp = 3
/
ATOMIC_SPECIES
Be 9.01 Be.upf
Cu 63.55 Cu.upf
Tl 204.38 Tl.upf
ATOMIC_POSITIONS angstrom
Be -2.2788 -1.3990 0.0348
Cu 0.0000 0.0000 0.0000
Cu -1.1656 -0.5936 2.3325
Tl -2.2943 1.1927 0.6935
CELL_PARAMETERS angstrom
-1.1811 1.9981 2.9912
-3.4075 0.3874 -1.6042
1.1442 -4.3781 0.9802

Record 4
Si2H5CNCl4: relaxed, PBEsol. Values from VASP.

Quantum ESPRESSO input file:
```
&SYSTEM
  ibrav = 0, nat = 52, ntyp = 5
/
ATOMIC_SPECIES
C 12.01 C.upf
Cl 35.45 Cl.upf
H 1.01 H.upf
N 14.01 N.upf
Si 28.09 Si.upf
ATOMIC_POSITIONS angstrom
C 0.9503 6.2653 4.5306
C 8.5109 7.2094 -0.1692
C 11.5695 3.2695 2.8174
C 4.0089 2.3255 7.5173
Cl 1.1102 2.7464 4.1853
Cl 5.6655 6.3561 1.7552
Cl 11.4095 6.7885 3.1627
Cl 6.8543 3.1787 5.5928
Cl 1.6336 4.5593 1.5002
Cl 7.6713 8.6610 2.9531
Cl 10.8861 4.9755 5.8478
Cl 4.8484 0.8738 4.3950
Cl 5.4541 2.6546 0.8008
Cl 4.4166 11.4870 3.3198
Cl 7.0656 6.8802 6.5473
Cl 8.1031 -1.9521 4.0283
Cl 3.8796 8.2300 4.6298
Cl 2.6832 0.5260 1.4359
Cl 8.6401 1.3048 2.7183
Cl 9.8365 9.0089 5.9121
H 0.2034 5.5522 4.9202
H 8.1883 6.1814 0.0700
H 12.3163 3.9826 2.4278
H 4.3314 3.3535 7.2780
H 9.2590 2.9772 8.0499
H 9.3210 7.5048 0.5197
H 3.2608 6.5576 -0.7019
H 3.1988 2.0301 6.8283
H 1.0298 7.0833 5.2657
H 8.9213 7.1891 -1.1924
H 11.4899 2.4516 2.0824
H 3.5985 2.3457 8.5404
H 3.7338 3.6922 3.3338
H 5.3760 9.2105 1.2342
H 8.7859 5.8427 4.0142
H 7.1437 0.3243 6.1138
H 4.8305 5.4635 4.7807
H 5.8456 9.9892 -1.1337
H 7.6893 4.0713 2.5673
H 6.6742 -0.4544 8.4818
N 2.2560 5.6082 4.3454
N 7.3777 8.1475 -0.0854
N 10.2637 3.9267 3.0027
N 5.1421 1.3874 7.4334
Si 2.3377 4.1882 3.3884
Si 6.4615 8.2089 1.3622
Si 10.1820 5.3466 3.9596
Si 6.0582 1.3260 5.9859
Si 3.6311 6.2598 5.1306
Si 6.9906 9.1044 -1.4516
Si 8.8887 3.2750 2.2175
Si 5.5291 0.4305 8.7997
CELL_PARAMETERS angstrom
-2.0916 3.5852 6.3696
8.6755 -3.7145 4.4689
5.9358 9.6642 -3.4905
```

Record 5
! Ti17N6O24, relaxed, DFT PBEsol; values from VASP
! Uncorrected formation energy: -2.7083 eV per atom
&SYSTEM
  ibrav = 0, nat = 94, ntyp = 3
/
ATOMIC_SPECIES
Ti 47.87 Ti.upf
N 14.01 N.upf
O 16.00 O.upf
ATOMIC_POSITIONS angstrom
Ti 1.3692 6.7034 1.5470
Ti 1.3419 9.9231 0.3279
Ti 7.6594 8.3130 0.8915
Ti 6.1087 10.0319 10.3598
Ti 6.6920 2.9868 0.8960
Ti 3.4470 4.6157 0.2606
Ti 3.4641 1.2083 1.5582
Ti 6.0916 13.4393 9.0622
Ti 2.8637 11.6608 9.7245
Ti 8.1865 7.9442 9.0734
Ti 8.2138 4.7245 10.2926
Ti 7.6452 10.9857 7.9653
Ti 1.8963 6.3346 9.7289
Ti 1.2944 9.3099 8.6069
Ti 1.2944 12.6615 7.3238
Ti 3.4762 7.3512 7.3254
Ti 3.4762 4.0104 8.5955
Ti 2.8637 10.3107 6.2062
Ti 6.1087 11.9395 5.5709
Ti 6.0916 8.5321 6.8684
Ti 8.1865 3.4174 6.8475
Ti 8.2138 6.6371 5.6284
Ti 1.8963 5.0270 6.1920
Ti 1.3419 8.0105 4.9921
Ti 1.3692 11.2302 3.7729
Ti 7.6594 9.6206 4.4285
Ti 6.6920 4.3370 4.4143
Ti 6.0795 10.6372 2.0249
Ti 3.4641 6.1155 3.7520
Ti 3.4470 2.7081 5.0496
Ti 6.0795 7.2964 3.2951
Ti 1.9105 3.6619 2.6551
Ti 8.2613 5.3377 2.0135
Ti 8.2613 1.9861 3.2967
N 2.1112 8.2517 0.7829
N 6.9777 11.6665 9.7280
N 2.5780 2.9811 0.8925
N 7.4445 6.3959 9.8375
N 2.1636 10.9857 7.9653
N 2.5602 5.6808 7.9605
N 6.9777 10.3049 6.2027
N 7.4445 4.9658 6.0834
N 2.1112 9.6818 4.5370
N 6.9955 8.9668 2.6600
N 2.5780 4.3427 4.4177
N 7.3921 3.6619 2.6551
O 9.0911 9.5194 0.4999
O 6.5774 10.0331 0.2303
O 9.0895 7.0719 1.3570
O 6.5740 6.5852 1.5389
O 7.7446 4.7307 0.2370
O 5.2541 1.8155 1.3419
O 4.3016 12.8321 9.2785
O 7.7857 1.2875 1.5532
O 5.2437 4.2127 0.4324
O 4.3120 10.4349 10.1881
O 1.7700 13.3601 9.0673
O 1.8111 9.9169 10.3835
O 6.5713 12.7158 7.3021
O 0.4662 7.5757 9.2635
O 9.0908 12.1567 7.4426
O 9.0908 9.8148 8.4881
O 6.5713 9.2556 8.6286
O 2.9817 8.0624 9.0816
O 2.9783 4.6145 10.3901
O 0.4645 5.1282 10.1205
O 1.8111 12.0545 5.5472
O 7.8786 7.5602 7.2496
O 5.2020 4.3793 8.4578
O 7.8786 3.8015 8.6713
O 5.2020 6.9823 7.4631
O 4.3120 11.5365 5.7426
O 4.3016 9.1393 6.6521
O 1.7700 8.6113 6.8634
O 9.0895 10.8616 3.9630
O 2.9783 6.7471 5.5308
O 2.9817 3.2992 6.8394
O 0.4645 6.2334 5.8004
O 0.4662 3.7860 6.6574
O 9.0911 8.4142 4.8201
O 6.5740 11.3484 3.7811
O 6.5774 7.9005 5.0897
O 7.7857 6.0363 3.7570
O 5.2437 3.1111 4.8778
O 4.3537 10.2683 2.1627
O 1.6770 7.0874 3.3708
O 1.6770 10.8461 1.9492
O 7.7446 2.5931 5.0733
O 5.2541 5.5083 3.9683
O 4.3537 7.6653 3.1573
O 2.9844 1.9318 3.3184
O 0.4649 4.8329 2.1324
O 2.9844 5.3920 1.9918
O 0.4649 2.4910 3.1778
CELL_PARAMETERS angstrom
9.5557 0.0000 0.0000
0.0000 10.6098 0.0098
0.0000 4.0378 10.6107

Record 6
! CoReOs2, relaxed, DFT PBEsol; values from VASP
! E_form: 2.18 eV per formula unit
! Excess energy over the best structure of this formula in the dataset: 463 meV per atom
&SYSTEM
  ibrav = 0, nat = 4, ntyp = 3
/
ATOMIC_SPECIES
Co 58.93 Co.upf
Os 190.23 Os.upf
Re 186.21 Re.upf
ATOMIC_POSITIONS angstrom
Co -2.0982 -1.9759 4.3188
Os 0.0000 0.0000 0.0000
Os -3.1474 -2.9638 6.4782
Re -1.0491 -0.9879 2.1594
CELL_PARAMETERS angstrom
-2.9412 -2.6471 1.5214
0.7778 -2.2386 3.5152
-2.0330 0.9339 3.6010

Record 7
! MgTiI2, relaxed, DFT PBEsol; values from VASP
! Uncorrected formation energy: -0.0949 eV per atom
&SYSTEM
  ibrav = 0, nat = 8, ntyp = 3
/
ATOMIC_SPECIES
I 126.90 I.upf
Mg 24.30 Mg.upf
Ti 47.87 Ti.upf
ATOMIC_POSITIONS angstrom
I -3.8770 -4.1619 4.3502
I -5.3064 -8.1749 1.2869
I -3.9300 -8.0970 5.0362
I -7.3495 -4.9851 2.5553
Mg -2.0962 -0.7452 1.9544
Mg -3.0196 -5.6095 1.3527
Ti 0.0000 0.0000 0.0000
Ti -5.1157 -6.3547 3.3071
CELL_PARAMETERS angstrom
-4.1923 -1.4905 3.9089
-5.3334 -4.2015 -2.8354
1.3904 -6.2723 3.5863

Record 8
! Ba2PbCl, relaxed, DFT PBEsol; values from VASP
! Uncorrected formation energy: -1.1597 eV per atom
! Excess energy over the best structure of this formula in the dataset: 69 meV per atom
&SYSTEM
  ibrav = 0, nat = 4, ntyp = 3
/
ATOMIC_SPECIES
Pb 207.20 Pb.upf
Ba 137.33 Ba.upf
Cl 35.45 Cl.upf
ATOMIC_POSITIONS angstrom
Pb 4.9227 -4.7799 0.2054
Ba 5.5315 -1.6842 1.4681
Ba 1.7617 -3.8174 -0.6335
Cl 2.3720 -0.7222 0.6295
CELL_PARAMETERS angstrom
-1.7259 -4.1169 1.7798
0.5107 -2.0750 -4.3046
6.3213 -1.9247 1.6777

| no. | total moment (μB per formula unit) | final energy (eV per atom) |
| --- | --- | --- |
| 1 | 0.00 | -2.2002 |
| 2 | 0.00 | -1.9345 |
| 3 | 0.00 | -3.4803 |
| 4 | 0.01 | -4.7995 |
| 5 | 0.00 | -9.4875 |
| 6 | 0.01 | -10.8291 |
| 7 | 1.96 | -3.4881 |
| 8 | 0.00 | -3.7358 |